The following is a DFT calculation (meta-GGA SCAN) of a crystal of Li2MgZr relaxed with PBEsol.

```
Li2MgZr
1.0
2.8051 0.0000 0.0000
0.0000 4.5251 0.0000
0.0000 0.0000 6.1892
Li Mg Zr
2 1 1
direct
0.0000 0.0000 0.2457 Li
0.0000 0.0000 0.7543 Li
0.5000 0.5000 0.0000 Mg
0.5000 0.5000 0.5000 Zr
```

## Properties
* D(E_F): 2.28 states/eV per cell
* crystal system: orthorhombic
* VASP energy: -9.91 eV per atom
* volume: 79 Å³ per cell
* E_form: 0.207 eV per atom